# Ta2Co2Ru, optimized geometry, DFT PBEsol
# **Formation energy from the elements**: -0.2083 eV per atom
# **DOS(E_F)**: 6.019 states/eV/f.u.
# **Space-group type**: P4/mbm (127)
# **ρ**: 14.1 g/cm3
# **Total magnetization**: 0.0001 μB/atom
# **Calculated total energy**: -10.36 eV per atom
data_Ta2Co2Ru
_chemical_formula_sum 'Ta4 Co4 Ru2'
_symmetry_space_group_name_H-M 'P 1'
_symmetry_Int_Tables_number 1
_symmetry_space_group_name_Hall 'P 1'
_cell_length_a 6.6316
_cell_length_b 6.6316
_cell_length_c 3.1012
_cell_angle_alpha 90.00
_cell_angle_beta 90.00
_cell_angle_gamma 90.00
loop_
_atom_site_label
_atom_site_type_symbol
_atom_site_fract_x
_atom_site_fract_y
_atom_site_fract_z
Ta1 Ta 0.1792 0.3208 0.0000
Ta2 Ta 0.3208 0.8208 0.0000
Ta3 Ta 0.6792 0.1792 0.0000
Ta4 Ta 0.8208 0.6792 0.0000
Co1 Co 0.1220 0.6220 0.5000
Co2 Co 0.3780 0.1220 0.5000
Co3 Co 0.6220 0.8780 0.5000
Co4 Co 0.8780 0.3780 0.5000
Ru1 Ru 0.0000 0.0000 0.5000
Ru2 Ru 0.5000 0.5000 0.5000